# KUTiS4, relaxed, DFT PBE-GGA
data_KUTiS4
_chemical_formula_sum 'K4 U4 Ti4 S16'
_space_group_name_H-M_alt 'I m m a'
_space_group_IT_number 74
_space_group_name_Hall '-I 2b 2'
_cell_length_a 7.669
_cell_length_b 8.738
_cell_length_c 10.580
_cell_angle_alpha 90.00
_cell_angle_beta 90.00
_cell_angle_gamma 90.00
loop_
_atom_site_label
_atom_site_fract_x
_atom_site_fract_y
_atom_site_fract_z
K1 0.000 0.250 0.169
U1 0.000 0.000 0.500
Ti1 0.250 0.250 0.750
S1 0.000 0.064 0.750
S2 0.216 0.250 0.513
# Volume ... 25.32 Å³/atom
# Uncorrected formation energy ... -1.295 eV per atom